The following is a DFT calculation (PBE with a Hubbard U) of an optimized crystal structure of Fe11O12.

Computed properties:
For the total energy, the calculation gives -152.904 eV/f.u.

Structure (POSCAR):
```
Fe11O12
1.0
6.2049 0.0000 0.0000
2.9924 6.1538 0.0000
1.5827 1.5621 6.4857
Fe O
11 12
direct
0.0000 0.0000 0.0000
0.0892 0.1701 0.3219
0.1737 0.3313 0.6764
0.2634 0.4816 0.9974
0.3369 0.6802 0.3220
0.4130 0.8375 0.6770
0.5870 0.1625 0.3230
0.6631 0.3198 0.6780
0.7366 0.5184 0.0026
0.8263 0.6687 0.3236
0.9108 0.8299 0.6781
0.0595 0.0750 0.6606
0.0866 0.2647 0.9971
0.2289 0.4103 0.3445
0.2968 0.5962 0.6613
0.3803 0.7463 0.9848
0.4548 0.9176 0.3592
0.5452 0.0824 0.6408
0.6197 0.2537 0.0152
0.7032 0.4038 0.3387
0.7711 0.5897 0.6555
0.9134 0.7353 0.0029
0.9405 0.9250 0.3394
```